Density functional theory data (PBE-GGA) for a geometry-optimized Ge2PRh2 structure.

a = 7.287 Å, b = 7.287 Å, c = 2.877 Å
α = 90.00°, β = 90.00°, γ = 90.00°
Fractional positions:
P: 0.000 0.000 0.000
P: 0.500 0.500 0.000
Ge: 0.149 0.649 0.500
Ge: 0.649 0.851 0.500
Ge: 0.851 0.351 0.500
Ge: 0.351 0.149 0.500
Rh: 0.351 0.851 0.000
Rh: 0.851 0.649 0.000
Rh: 0.649 0.149 0.000
Rh: 0.149 0.351 0.000

## Properties
- Total DFT energy (no corrections): -60.4 eV per cell
- DOS(E_F): 5.58 states/eV/cell
- Space group: P4/mbm (127)
- ΔH_f (0 K): -0.1680 eV per atom
- Total magnetization: 0.0 μB/cell



Density functional theory data (PBE-GGA) for a geometry-optimized Ge3PRh structure.

a = 4.738 Å, b = 4.738 Å, c = 4.738 Å
α = 90.00°, β = 90.00°, γ = 90.00°
Fractional positions:
P: 0.500 0.500 0.500
Ge: 0.000 0.500 0.000
Ge: 0.000 0.000 0.500
Ge: 0.500 0.000 0.000
Rh: 0.000 0.000 0.000

## Properties
- Total DFT energy (no corrections): -25.0 eV per cell
- DOS(E_F): 0.62 states/eV/cell
- Space group: Pm-3m (221)
- ΔH_f (0 K): 0.3285 eV per atom
- Excess energy over the best structure of this formula in the dataset: 0 meV/atom
- Total magnetization: 0.0 μB/cell



Density functional theory data (PBE-GGA) for a geometry-optimized Ge3PRh structure.

a = 4.615 Å, b = 4.615 Å, c = 4.615 Å
α = 90.00°, β = 90.00°, γ = 90.00°
Fractional positions:
P: 0.000 0.000 0.000
Ge: 0.000 0.500 0.000
Ge: 0.000 0.000 0.500
Ge: 0.500 0.000 0.000
Rh: 0.500 0.500 0.500

## Properties
- Total DFT energy (no corrections): -22.5 eV per cell
- DOS(E_F): 3.33 states/eV/cell
- Space group: Pm-3m (221)
- ΔH_f (0 K): 0.8288 eV per atom
- Excess energy over the best structure of this formula in the dataset: 500 meV/atom
- Total magnetization: 0.0 μB/cell



Density functional theory data (PBE-GGA) for a geometry-optimized GeP2Rh structure.

a = 5.357 Å, b = 5.357 Å, c = 6.611 Å
α = 66.10°, β = 66.10°, γ = 90.00°
Fractional positions:
P: 0.644 0.125 0.250
P: 0.106 0.625 0.250
P: 0.375 0.356 0.750
P: 0.875 0.894 0.750
Ge: 0.500 0.500 0.000
Ge: 0.250 0.750 0.500
Rh: 0.000 0.000 0.000
Rh: 0.750 0.250 0.500

## Properties
- Total DFT energy (no corrections): -47.3 eV per cell
- DOS(E_F): 4.36 states/eV/cell
- Space group: I-42d (122)
- ΔH_f (0 K): -0.2177 eV per atom
- Total magnetization: 0.0 μB/cell



Density functional theory data (PBE-GGA) for a geometry-optimized Ge4P2Rh structure.

a = 3.574 Å, b = 5.827 Å, c = 6.951 Å
α = 108.59°, β = 90.00°, γ = 98.58°
Fractional positions:
Ge: 0.850 0.743 0.646
Ge: 0.150 0.257 0.354
Ge: 0.555 0.269 0.927
Ge: 0.445 0.731 0.073
P: 0.656 0.299 0.589
P: 0.344 0.701 0.411
Rh: 0.000 0.000 0.000

## Properties
- Total DFT energy (no corrections): -37.3 eV per cell
- DOS(E_F): 1.01 states/eV/cell
- Space group: P-1 (2)
- ΔH_f (0 K): -0.0882 eV per atom
- Total magnetization: 0.0 μB/cell



Density functional theory data (PBE-GGA) for a geometry-optimized GePRh structure.

a = 5.882 Å, b = 5.882 Å, c = 5.882 Å
α = 90.00°, β = 90.00°, γ = 90.00°
Fractional positions:
Ge: 0.381 0.381 0.381
Ge: 0.119 0.619 0.881
Ge: 0.881 0.119 0.619
Ge: 0.619 0.881 0.119
P: 0.620 0.620 0.620
P: 0.880 0.380 0.120
P: 0.120 0.880 0.380
P: 0.380 0.120 0.880
Rh: 0.026 0.026 0.026
Rh: 0.474 0.974 0.526
Rh: 0.526 0.474 0.974
Rh: 0.974 0.526 0.474

## Properties
- Total DFT energy (no corrections): -72.9 eV per cell
- DOS(E_F): 7.59 states/eV/cell
- Space group: P2_13 (198)
- ΔH_f (0 K): -0.2846 eV per atom
- Total magnetization: 0.0 μB/cell



Density functional theory data (PBE-GGA) for a geometry-optimized Ge2PRh structure.

a = 5.738 Å, b = 5.738 Å, c = 6.522 Å
α = 63.90°, β = 63.90°, γ = 90.00°
Fractional positions:
P: 0.500 0.500 0.000
P: 0.250 0.750 0.500
Ge: 0.627 0.125 0.250
Ge: 0.123 0.625 0.250
Ge: 0.375 0.373 0.750
Ge: 0.875 0.877 0.750
Rh: 0.000 0.000 0.000
Rh: 0.750 0.250 0.500

## Properties
- Total DFT energy (no corrections): -44.0 eV per cell
- DOS(E_F): 2.68 states/eV/cell
- Space group: I-42d (122)
- ΔH_f (0 K): 0.0015 eV per atom
- Total magnetization: 0.0 μB/cell



Density functional theory data (PBE-GGA) for a geometry-optimized GeP2RhS structure.

a = 4.456 Å, b = 4.456 Å, c = 5.161 Å
α = 90.00°, β = 90.00°, γ = 90.00°
Fractional positions:
P: 0.000 0.500 0.000
P: 0.500 0.000 0.000
Ge: 0.500 0.500 0.500
Rh: 0.000 0.000 0.000
S: 0.000 0.000 0.500

## Properties
- Total DFT energy (no corrections): -24.1 eV per cell
- DOS(E_F): 3.76 states/eV/cell
- Space group: P4/mmm (123)
- E_form (uncorrected): 2.79 eV per formula unit
- Excess energy over the best structure of this formula in the dataset: 0 meV/atom
- Total magnetization: 0.0 μB/cell



Question: What is the total DFT energy (no corrections) in the eighth record?
Answer: -24.1 eV per cell



Question: Look up the DOS(E_F) of the eighth one.
Answer: 3.76 states/eV/cell



Question: Which of these has the lowest total DFT energy (no corrections)?
Answer: GePRh